(1)
A relaxed structure of Mo2OsC2, computed with PBE.

**Calculated density**: 10.98 g cm⁻³
**SG**: I4/mmm (139)
**Magnetic moment**: 0.00 μB per formula unit
**Energy**: -9.30 eV per atom
**DOS(E_F)**: 2.62 states/eV per cell
**Formation enthalpy at 0 K**: 0.9640 eV/atom
**Energy relative to the lowest polymorph listed for this composition**: 0 meV/atom

a b c (Å): 3.8165 3.8165 5.0069
angles (deg): 67.60 67.60 90.00
With the nearest neighbours (Å) after each atom.
Element x y z (fractional)
C1 0.7500 0.2500 0.5000  4 Mo 2.07
C2 0.2500 0.7500 0.5000  4 Mo 2.07
Mo1 0.6559 0.6559 0.6882  4 C 2.07
Mo2 0.3441 0.3441 0.3118  4 C 2.07
Os1 0.0000 0.0000 0.0000  8 C 2.84, 10 Mo 2.90-3.00

***

(2)
A relaxed structure of Mo2OsC, computed with PBE.

**Calculated density**: 9.70 g cm⁻³
**SG**: I-42d (122)
**Magnetic moment**: 0.00 μB per formula unit
**Energy**: -9.70 eV per atom
**DOS(E_F)**: 4.51 states/eV per cell
**Formation enthalpy at 0 K**: 0.8296 eV/atom

a b c (Å): 5.2393 5.2393 6.1555
angles (deg): 64.81 64.81 90.00
With the nearest neighbours (Å) after each atom.
Element x y z (fractional)
Os1 0.7500 0.2500 0.5000  4 Mo 2.46
Os2 0.0000 0.0000 0.0000  4 Mo 2.46
Mo1 0.5532 0.1250 0.2500  2 C 2.02
Mo2 0.8750 0.8032 0.7500  2 C 2.02
Mo3 0.1968 0.6250 0.2500  2 C 2.02
Mo4 0.3750 0.4468 0.7500  2 C 2.02
C1 0.5000 0.5000 0.0000  4 Mo 2.02
C2 0.2500 0.7500 0.5000  4 Mo 2.02

***

(3)
A relaxed structure of MoOsC2, computed with PBE.

**Calculated density**: 10.18 g cm⁻³
**SG**: I-42d (122)
**Magnetic moment**: 0.00 μB per formula unit
**Energy**: -9.49 eV per atom
**DOS(E_F)**: 9.94 states/eV per cell
**Formation enthalpy at 0 K**: 0.6419 eV/atom
**Energy relative to the lowest polymorph listed for this composition**: 0 meV/atom

a b c (Å): 4.6168 4.6168 5.7614
angles (deg): 66.38 66.38 90.00
With the nearest neighbours (Å) after each atom.
Element x y z (fractional)
Os1 0.0000 0.0000 0.0000  4 C 1.98
Os2 0.7500 0.2500 0.5000  4 C 1.98
C1 0.6392 0.1250 0.2500  2 Os 1.98, 2 Mo 2.06
C2 0.3750 0.3608 0.7500  2 Os 1.98, 2 Mo 2.06
C3 0.8750 0.8892 0.7500  2 Os 1.98, 2 Mo 2.06
C4 0.1108 0.6250 0.2500  2 Os 1.98, 2 Mo 2.06
Mo1 0.2500 0.7500 0.5000  4 C 2.06
Mo2 0.5000 0.5000 0.0000  4 C 2.06

***

(4)
A relaxed structure of MoOsC2, computed with PBE.

**Calculated density**: 13.02 g cm⁻³
**SG**: Fm-3m (225)
**Magnetic moment**: 0.00 μB per formula unit
**Energy**: -9.05 eV per atom
**DOS(E_F)**: 2.27 states/eV per cell
**Formation enthalpy at 0 K**: 1.0810 eV/atom
**Energy relative to the lowest polymorph listed for this composition**: 439 meV/atom

a b c (Å): 3.8250 3.8250 3.8250
angles (deg): 60.00 60.00 60.00
With the nearest neighbours (Å) after each atom.
Element x y z (fractional)
C1 0.7500 0.7500 0.7500  4 Mo 2.34, 4 Os 2.34
C2 0.2500 0.2500 0.2500  4 Mo 2.34, 4 Os 2.34
Mo1 0.0000 0.0000 0.0000  8 C 2.34
Os1 0.5000 0.5000 0.5000  8 C 2.34

***

(5)
A relaxed structure of Mo2OsPtC, computed with PBE.

**Calculated density**: 11.06 g cm⁻³
**SG**: P4/mmm (123)
**Magnetic moment**: 0.00 μB per formula unit
**Energy**: -7.53 eV per atom
**DOS(E_F)**: 7.10 states/eV per cell
**Formation enthalpy at 0 K**: 2.0986 eV/atom

a b c (Å): 4.9400 3.6245 4.9400
angles (deg): 90.00 90.00 90.00
With the nearest neighbours (Å) after each atom.
Element x y z (fractional)
Mo1 0.0000 0.0000 0.5000  2 Pt 2.47
Mo2 0.5000 0.0000 0.0000  2 Pt 2.47
C1 0.0000 0.5000 0.0000  2 Pt 1.81
Os1 0.5000 0.5000 0.5000  8 Mo 3.06
Pt1 0.0000 0.0000 0.0000  2 C 1.81

***

(6)
A relaxed structure of Re2MoOsC, computed with PBE.

**Calculated density**: 12.93 g cm⁻³
**SG**: P4/mmm (123)
**Magnetic moment**: 0.00 μB per formula unit
**Energy**: -8.66 eV per atom
**DOS(E_F)**: 6.08 states/eV per cell
**Formation enthalpy at 0 K**: 2.5768 eV/atom

a b c (Å): 4.7367 3.8399 4.7367
angles (deg): 90.00 90.00 90.00
With the nearest neighbours (Å) after each atom.
Element x y z (fractional)
Re1 0.0000 0.0000 0.5000  2 Mo 2.37
Re2 0.5000 0.0000 0.0000  2 Mo 2.37
C1 0.0000 0.5000 0.0000  2 Mo 1.92
Os1 0.5000 0.5000 0.5000  8 Re 3.05, 4 C 3.35
Mo1 0.0000 0.0000 0.0000  2 C 1.92

***

(7)
A relaxed structure of SnMo2OsC, computed with PBE.

**Calculated density**: 7.32 g cm⁻³
**SG**: P4/mmm (123)
**Magnetic moment**: 0.01 μB per formula unit
**Energy**: -5.50 eV per atom
**DOS(E_F)**: 8.44 states/eV per cell
**Formation enthalpy at 0 K**: 3.7287 eV/atom

a b c (Å): 4.9277 4.7934 4.9277
angles (deg): 90.00 90.00 90.00
With the nearest neighbours (Å) after each atom.
Element x y z (fractional)
Mo1 0.0000 0.0000 0.5000  2 Sn 2.46
Mo2 0.5000 0.0000 0.0000  2 Sn 2.46
C1 0.5000 0.5000 0.5000  8 Mo 3.44, 4 Os 3.48
Os1 0.0000 0.5000 0.0000  2 Sn 2.40
Sn1 0.0000 0.0000 0.0000  2 Os 2.40, 4 Mo 2.46

***

(8)
A relaxed structure of MoP2C2, computed with PBE.

**Calculated density**: 5.19 g cm⁻³
**SG**: P4/mbm (127)
**Magnetic moment**: 0.00 μB per formula unit
**Energy**: -6.99 eV per atom
**DOS(E_F)**: 5.73 states/eV per cell
**Formation enthalpy at 0 K**: 1.0274 eV/atom
**Energy relative to the lowest polymorph listed for this composition**: 0 meV/atom

a b c (Å): 6.3365 6.3365 2.8968
angles (deg): 90.00 90.00 90.00
With the nearest neighbours (Å) after each atom.
Element x y z (fractional)
Mo1 0.0000 0.0000 0.0000  4 P 2.50, 8 C 2.67
Mo2 0.5000 0.5000 0.0000  4 P 2.50, 8 C 2.67
C1 0.7635 0.7365 0.5000  2 P 1.76
C2 0.2365 0.2635 0.5000  2 P 1.76
C3 0.2635 0.7635 0.5000  2 P 1.76
C4 0.7365 0.2365 0.5000  2 P 1.76
P1 0.8748 0.6252 0.0000  2 C 1.76
P2 0.6252 0.1252 0.0000  2 C 1.76
P3 0.1252 0.3748 0.0000  2 C 1.76
P4 0.3748 0.8748 0.0000  2 C 1.76

***

(9)
A relaxed structure of Mo4PC, computed with PBE.

**Calculated density**: 8.37 g cm⁻³
**SG**: P2_1/c (14)
**Magnetic moment**: 0.00 μB per formula unit
**Energy**: -9.73 eV per atom
**DOS(E_F)**: 7.38 states/eV per cell
**Formation enthalpy at 0 K**: -0.0675 eV/atom

a b c (Å): 5.9004 5.2776 5.5795
angles (deg): 90.00 103.00 90.00
With the nearest neighbours (Å) after each atom.
Element x y z (fractional)
Mo1 0.8106 0.1434 0.4024  2 C 2.16-2.19
Mo2 0.6894 0.6434 0.5976  2 C 2.16-2.19
Mo3 0.1894 0.8566 0.5976  2 C 2.16-2.19
Mo4 0.6263 0.1389 0.8460  1 C 2.04, 1 P 2.28
Mo5 0.8737 0.6389 0.1540  1 C 2.04, 1 P 2.28
Mo6 0.3737 0.8611 0.1540  1 C 2.04, 1 P 2.28
Mo7 0.3106 0.3566 0.4024  2 C 2.16-2.19
Mo8 0.1263 0.3611 0.8460  1 C 2.04, 1 P 2.28
P1 0.5000 0.5000 0.0000  4 Mo 2.28-2.30
P2 0.0000 0.0000 0.0000  4 Mo 2.28-2.30
C1 0.5000 0.0000 0.5000  6 Mo 2.04-2.19
C2 0.0000 0.5000 0.5000  6 Mo 2.04-2.19

***

(10)
A relaxed structure of MoP2C, computed with PBE.

**Calculated density**: 5.21 g cm⁻³
**SG**: I-42d (122)
**Magnetic moment**: 0.00 μB per formula unit
**Energy**: -7.32 eV per atom
**DOS(E_F)**: 3.49 states/eV per cell
**Formation enthalpy at 0 K**: 0.4033 eV/atom

a b c (Å): 5.3063 5.3063 5.3723
angles (deg): 60.41 60.41 90.00
With the nearest neighbours (Å) after each atom.
Element x y z (fractional)
P1 0.5437 0.1250 0.2500  2 C 1.87
P2 0.3750 0.4563 0.7500  2 C 1.87
P3 0.2063 0.6250 0.2500  2 C 1.87
P4 0.8750 0.7937 0.7500  2 C 1.87
Mo1 0.0000 0.0000 0.0000  4 P 2.40
Mo2 0.7500 0.2500 0.5000  4 P 2.40
C1 0.5000 0.5000 0.0000  4 P 1.87
C2 0.2500 0.7500 0.5000  4 P 1.87

***

(11)
A relaxed structure of MoP2C2, computed with PBE.

**Calculated density**: 5.50 g cm⁻³
**SG**: I4/mmm (139)
**Magnetic moment**: 0.00 μB per formula unit
**Energy**: -6.41 eV per atom
**DOS(E_F)**: 3.92 states/eV per cell
**Formation enthalpy at 0 K**: 1.6102 eV/atom
**Energy relative to the lowest polymorph listed for this composition**: 583 meV/atom

a b c (Å): 3.1733 3.1733 5.8986
angles (deg): 74.40 74.40 90.00
With the nearest neighbours (Å) after each atom.
Element x y z (fractional)
C1 0.7500 0.2500 0.5000  4 P 2.02, 4 C 2.24
C2 0.2500 0.7500 0.5000  4 P 2.02, 4 C 2.24
Mo1 0.0000 0.0000 0.0000  8 P 2.68
P1 0.6348 0.6348 0.7304  4 C 2.02
P2 0.3652 0.3652 0.2696  4 C 2.02

***

(12)
A relaxed structure of Mo2PRhC, computed with PBE.

**Calculated density**: 5.54 g cm⁻³
**SG**: P4/mmm (123)
**Magnetic moment**: 3.47 μB per formula unit
**Energy**: -6.24 eV per atom
**DOS(E_F)**: 5.20 states/eV per cell
**Formation enthalpy at 0 K**: 2.4901 eV/atom

a b c (Å): 4.8879 4.2414 4.8879
angles (deg): 90.00 90.00 90.00
With the nearest neighbours (Å) after each atom.
Element x y z (fractional)
Mo1 0.0000 0.0000 0.5000  2 Rh 2.44
Mo2 0.5000 0.0000 0.0000  2 Rh 2.44
C1 0.5000 0.5000 0.5000  8 Mo 3.24, 4 P 3.46
Rh1 0.0000 0.0000 0.0000  2 P 2.12
P1 0.0000 0.5000 0.0000  2 Rh 2.12

***

(13)
A relaxed structure of MoP2CS, computed with PBE.

**Calculated density**: 5.20 g cm⁻³
**SG**: P4/mmm (123)
**Magnetic moment**: 1.37 μB per formula unit
**Energy**: -5.93 eV per atom
**DOS(E_F)**: 4.63 states/eV per cell
**Uncorrected formation energy**: 1.07 eV per atom
**Energy relative to the lowest polymorph listed for this composition**: 0 meV/atom

a b c (Å): 3.9555 3.9555 4.1251
angles (deg): 90.00 90.00 90.00
With the nearest neighbours (Å) after each atom.
Element x y z (fractional)
P1 0.5000 0.0000 0.0000  2 C 1.98
P2 0.0000 0.5000 0.0000  2 C 1.98
Mo1 0.5000 0.5000 0.5000  4 S 2.80, 8 P 2.86
S1 0.0000 0.0000 0.5000  2 C 2.06
C1 0.0000 0.0000 0.0000  4 P 1.98, 2 S 2.06

***

(14)
A relaxed structure of MoP2CS, computed with PBE.

**Calculated density**: 3.30 g cm⁻³
**SG**: P4/mmm (123)
**Magnetic moment**: 1.51 μB per formula unit
**Energy**: -5.33 eV per atom
**DOS(E_F)**: 3.67 states/eV per cell
**Uncorrected formation energy**: 1.67 eV per atom
**Energy relative to the lowest polymorph listed for this composition**: 599 meV/atom

a b c (Å): 4.7276 4.7276 4.5411
angles (deg): 90.00 90.00 90.00
With the nearest neighbours (Å) after each atom.
Element x y z (fractional)
P1 0.0000 0.5000 0.0000  2 Mo 2.36
P2 0.5000 0.0000 0.0000  2 Mo 2.36
Mo1 0.0000 0.0000 0.0000  2 S 2.27, 4 P 2.36
C1 0.5000 0.5000 0.5000  8 P 3.28, 4 S 3.34
S1 0.0000 0.0000 0.5000  2 Mo 2.27

***

(15)
A relaxed structure of Sn2MoPC, computed with PBE.

**Calculated density**: 6.37 g cm⁻³
**SG**: P4/mmm (123)
**Magnetic moment**: 2.08 μB per formula unit
**Energy**: -5.47 eV per atom
**DOS(E_F)**: 3.87 states/eV per cell
**Formation enthalpy at 0 K**: 1.2258 eV/atom

a b c (Å): 5.4280 5.4280 3.3280
angles (deg): 90.00 90.00 90.00
With the nearest neighbours (Å) after each atom.
Element x y z (fractional)
P1 0.0000 0.0000 0.0000  2 C 1.66
Mo1 0.5000 0.5000 0.5000  8 Sn 3.18, 2 Mo 3.33
C1 0.0000 0.0000 0.5000  2 P 1.66
Sn1 0.5000 0.0000 0.0000  2 P 2.71
Sn2 0.0000 0.5000 0.0000  2 P 2.71

***

(16)
A relaxed structure of TcMo2PC, computed with PBE.

**Calculated density**: 6.53 g cm⁻³
**SG**: P4/mmm (123)
**Magnetic moment**: 0.00 μB per formula unit
**Energy**: -7.45 eV per atom
**DOS(E_F)**: 5.77 states/eV per cell
**Formation enthalpy at 0 K**: 1.8792 eV/atom

a b c (Å): 4.4374 4.3019 4.4374
angles (deg): 90.00 90.00 90.00
With the nearest neighbours (Å) after each atom.
Element x y z (fractional)
C1 0.5000 0.5000 0.5000  8 Mo 3.09, 4 Tc 3.14
Tc1 0.0000 0.5000 0.0000  2 P 2.15
Mo1 0.0000 0.0000 0.5000  2 P 2.22
Mo2 0.5000 0.0000 0.0000  2 P 2.22
P1 0.0000 0.0000 0.0000  2 Tc 2.15, 4 Mo 2.22

***

(17)
A relaxed structure of PaMoC, computed with PBE.

**Calculated density**: 12.63 g cm⁻³
**SG**: I4mm (107)
**Magnetic moment**: 0.00 μB per formula unit
**Energy**: -9.62 eV per atom
**DOS(E_F)**: 3.12 states/eV per cell
**Formation enthalpy at 0 K**: 0.2339 eV/atom
**Energy relative to the lowest polymorph listed for this composition**: 285 meV/atom

a b c (Å): 2.9972 2.9972 5.3966
angles (deg): 106.12 106.12 90.00
With the nearest neighbours (Å) after each atom.
Element x y z (fractional)
Mo1 0.2845 0.2845 0.5689  4 C 2.26
Pa1 0.0089 0.0089 0.0177  1 Mo 2.74, 5 C 2.89-3.00, 4 Pa 3.00
C1 0.7067 0.7067 0.4134  4 Mo 2.26

***

(18)
A relaxed structure of Pa5MoC4, computed with PBE.

**Calculated density**: 12.44 g cm⁻³
**SG**: Pmmn (59)
**Magnetic moment**: 0.00 μB per formula unit
**Energy**: -9.54 eV per atom
**DOS(E_F)**: 26.24 states/eV per cell
**Formation enthalpy at 0 K**: -0.0211 eV/atom

a b c (Å): 5.9663 7.0090 8.2919
angles (deg): 90.00 90.00 90.00
With the nearest neighbours (Å) after each atom.
Element x y z (fractional)
C1 0.3830 0.7347 0.5000  1 Mo 2.07
C2 0.9755 0.0000 0.2324  1 Mo 2.12
C3 0.0245 0.5000 0.2676  1 Mo 2.12
C4 0.9755 0.0000 0.7676  1 Mo 2.12
C5 0.6170 0.2347 0.0000  1 Mo 2.07
C6 0.0245 0.5000 0.7324  1 Mo 2.12
C7 0.3830 0.2653 0.5000  1 Mo 2.07
C8 0.6170 0.7653 0.0000  1 Mo 2.07
Pa1 0.8607 0.5000 0.0000  4 C 2.36-2.42
Pa2 0.2770 0.7499 0.1708  3 C 2.45-2.56
Pa3 0.7230 0.7501 0.3292  3 C 2.45-2.56
Pa4 0.2770 0.7499 0.8292  3 C 2.45-2.56
Pa5 0.2770 0.2501 0.1708  3 C 2.45-2.56
Pa6 0.2770 0.2501 0.8292  3 C 2.45-2.56
Pa7 0.7230 0.7501 0.6708  3 C 2.45-2.56
Pa8 0.7230 0.2499 0.3292  3 C 2.45-2.56
Pa9 0.7230 0.2499 0.6708  3 C 2.45-2.56
Pa10 0.1393 0.0000 0.5000  4 C 2.36-2.42
Mo1 0.1724 0.5000 0.5000  4 C 2.07-2.12
Mo2 0.8276 0.0000 0.0000  4 C 2.07-2.12

***

(19)
A relaxed structure of PaMoC, computed with PBE.

**Calculated density**: 11.55 g cm⁻³
**SG**: P6_3mc (186)
**Magnetic moment**: 0.00 μB per formula unit
**Energy**: -9.90 eV per atom
**DOS(E_F)**: 4.79 states/eV per cell
**Formation enthalpy at 0 K**: -0.0513 eV/atom
**Energy relative to the lowest polymorph listed for this composition**: 0 meV/atom

a b c (Å): 3.2573 3.2573 10.6110
angles (deg): 90.00 90.00 120.00
With the nearest neighbours (Å) after each atom.
Element x y z (fractional)
C1 0.6667 0.3333 0.1095  3 Mo 2.12
C2 0.3333 0.6667 0.6095  3 Mo 2.12
Mo1 0.0000 0.0000 0.0180  3 C 2.12
Mo2 0.0000 0.0000 0.5180  3 C 2.12
Pa1 0.6667 0.3333 0.7631  3 C 2.49
Pa2 0.3333 0.6667 0.2631  3 C 2.49

***

(20)
A relaxed structure of PaMoC, computed with PBE.

**Calculated density**: 11.67 g cm⁻³
**SG**: P3m1 (156)
**Magnetic moment**: 0.00 μB per formula unit
**Energy**: -9.88 eV per atom
**DOS(E_F)**: 3.98 states/eV per cell
**Formation enthalpy at 0 K**: -0.0258 eV/atom
**Energy relative to the lowest polymorph listed for this composition**: 25 meV/atom

a b c (Å): 5.5174 3.1773 3.1773
angles (deg): 120.00 90.00 90.00
With the nearest neighbours (Å) after each atom.
Element x y z (fractional)
Pa1 0.0667 0.0000 0.0000  3 C 2.49
Mo1 0.5614 0.3333 0.6667  3 C 2.11
C1 0.3720 0.6667 0.3333  3 Mo 2.11